Here is a relaxed structure of MgMo2Os2 from Alexandria via LeMat-Bulk. Energies are from PBE.

Unit cell a=7.700 b=7.700 c=2.829 alpha=90.00 beta=90.00 gamma=90.00
Space group P4/mbm (No. 127)
One atom of each set of equivalent atoms:
Mg1 0.000 0.000 0.000 (multiplicity 2)
Mo1 0.147 0.353 0.000 (multiplicity 4)
Os1 0.143 0.643 0.500 (multiplicity 4)

## Properties
Its energy is -89.2 eV for the cell shown.

=====

Here is a relaxed structure of Mg2MoOs from Alexandria via LeMat-Bulk. Energies are from PBE.

Unit cell a=2.8364 b=2.8364 c=28.1278 alpha=90.00 beta=90.00 gamma=120.00
Space group R-3m (No. 166, hexagonal axes)
One atom of each set of equivalent atoms:
Mg1 0.0000 0.0000 0.2466 (multiplicity 6)
Mo1 0.0000 0.0000 0.0000 (multiplicity 3)
Os1 0.0000 0.0000 0.5000 (multiplicity 3)

## Properties
Its energy is -71.3 eV for the cell shown.

=====

Here is a relaxed structure of MgMoOs2 from Alexandria via LeMat-Bulk. Energies are from PBE.

Unit cell a=3.778 b=3.778 c=8.477 alpha=90.00 beta=90.00 gamma=90.00
Space group I-4m2 (No. 119)
One atom of each set of equivalent atoms:
Mg1 0.000 0.000 0.000 (multiplicity 2)
Mo1 0.000 0.500 0.750 (multiplicity 2)
Os1 0.000 0.000 0.500 (multiplicity 2)
Os2 0.000 0.500 0.250 (multiplicity 2)

## Properties
Its energy is -67.4 eV for the cell shown.

=====

Here is a relaxed structure of Mg2MoOs from Alexandria via LeMat-Bulk. Energies are from PBE.

Unit cell a=6.312 b=6.320 c=6.336 alpha=90.00 beta=90.00 gamma=90.00
Space group F222 (No. 22)
One atom of each set of equivalent atoms:
Mg1 0.000 0.000 0.000 (multiplicity 4)
Mg2 0.250 0.250 0.250 (multiplicity 4)
Mo1 0.000 0.000 0.500 (multiplicity 4)
Os1 0.250 0.250 0.750 (multiplicity 4)

## Properties
Its energy is -99.9 eV for the cell shown.

=====

Here is a relaxed structure of Mg2MoOs from Alexandria via LeMat-Bulk. Energies are from PBE.

Unit cell a=2.8811 b=2.8811 c=28.7752 alpha=90.00 beta=90.00 gamma=120.00
Space group R3m (No. 160, hexagonal axes)
One atom of each set of equivalent atoms:
Mg1 0.0000 0.0000 0.0000 (multiplicity 3)
Mg2 0.0000 0.0000 0.2366 (multiplicity 3)
Mo1 0.0000 0.0000 0.4847 (multiplicity 3)
Os1 0.0000 0.0000 0.7464 (multiplicity 3)

## Properties
Its energy is -73.6 eV for the cell shown.

=====

Here is a relaxed structure of MgMoOs2 from Alexandria via LeMat-Bulk. Energies are from PBE.

Unit cell a=6.226 b=6.226 c=6.226 alpha=90.00 beta=90.00 gamma=90.00
Space group F-43m (No. 216)
One atom of each set of equivalent atoms:
Mg1 0.000 0.000 0.000 (multiplicity 4)
Mo1 0.250 0.250 0.750 (multiplicity 4)
Os1 0.000 0.000 0.500 (multiplicity 4)
Os2 0.250 0.250 0.250 (multiplicity 4)

## Properties
Its energy is -133.6 eV for the cell shown.

=====

Here is a relaxed structure of MgMo3Os from Alexandria via LeMat-Bulk. Energies are from PBE.

Unit cell a=4.772 b=4.772 c=4.772 alpha=90.00 beta=90.00 gamma=90.00
Space group Pm-3m (No. 221)
One atom of each set of equivalent atoms:
Mg1 0.000 0.000 0.000 (multiplicity 1)
Mo1 0.000 0.500 0.500 (multiplicity 3)
Os1 0.500 0.500 0.500 (multiplicity 1)

## Properties
Its energy is -38.2 eV for the cell shown.

=====

Here is a relaxed structure of MgMoOs3 from Alexandria via LeMat-Bulk. Energies are from PBE.

Unit cell a=4.706 b=4.706 c=4.706 alpha=90.00 beta=90.00 gamma=90.00
Space group Pm-3m (No. 221)
One atom of each set of equivalent atoms:
Mg1 0.000 0.000 0.000 (multiplicity 1)
Mo1 0.500 0.500 0.500 (multiplicity 1)
Os1 0.000 0.500 0.500 (multiplicity 3)

## Properties
Its energy is -36.9 eV for the cell shown.

=====

Respective Fermi-level density of states values: 5.9 15.4 6.2 1.6 10.6 16.4 5.0 6.7 states/eV/cell.